# 1
DFT (PBE-GGA) results for an optimized crystal structure of K5Ga2O6.

a = 6.3765 Å, b = 6.3765 Å, c = 14.3372 Å
α = 98.34°, β = 98.34°, γ = 63.91°
Positions (direct):
1 K 0.1091 0.8909 0.7500
2 K 0.1748 0.7020 0.0023
3 K 0.2769 0.4172 0.2882
4 K 0.2980 0.8252 0.4977
5 K 0.4172 0.2769 0.7882
6 K 0.5828 0.7231 0.2118
7 K 0.7020 0.1748 0.5023
8 K 0.7231 0.5828 0.7118
9 K 0.8252 0.2980 0.9977
10 K 0.8909 0.1091 0.2500
11 Ga 0.1418 0.4071 0.5762
12 Ga 0.4071 0.1418 0.0762
13 Ga 0.5929 0.8582 0.9238
14 Ga 0.8582 0.5929 0.4238
15 O 0.1064 0.2024 0.6444
16 O 0.1482 0.3094 0.4430
17 O 0.2024 0.1064 0.1444
18 O 0.3094 0.1482 0.9430
19 O 0.3813 0.4869 0.6269
20 O 0.4869 0.3813 0.1269
21 O 0.5131 0.6187 0.8731
22 O 0.6187 0.5131 0.3731
23 O 0.6906 0.8518 0.0570
24 O 0.7976 0.8936 0.8556
25 O 0.8518 0.6906 0.5570
26 O 0.8936 0.7976 0.3556

## Properties
density = 2.8 Mg/m³
SG = C2/c, No. 15
M_tot = 1.11 μB/f.u.
ΔE_f (raw) = -1.537 eV per atom

# 2
DFT (PBE-GGA) results for an optimized crystal structure of Co2IrSe.

a = 2.8824 Å, b = 2.8824 Å, c = 6.4639 Å
α = 90.00°, β = 90.00°, γ = 90.00°
Positions (direct):
1 Co 0.0000 0.0000 0.0000
2 Co 0.5000 0.5000 0.2317
3 Ir 0.0000 0.0000 0.4779
4 Se 0.5000 0.5000 0.7692

## Properties
density = 12.0 Mg/m³
SG = P4mm, No. 99
M_tot = 3.19 μB/f.u.
ΔE_f (raw) = 0.339 eV per atom